1.
A plane-wave DFT calculation with PBE was carried out for a relaxed structure of Mg2TeN.

Output
total magnetization = 1.013 Bohr magnetons per cell
symmetry = Fm-3m
E_form (uncorrected) = 0.44 eV per atom
electronic total energy = -3.225 eV/atom

The structure in POSCAR format:
```
Mg2TeN
1.0
0.0000 3.3250 3.3250
3.3250 0.0000 3.3250
3.3250 3.3250 0.0000
Mg Te N
2 1 1
Cartesian
1.6625 1.6625 1.6625
4.9875 4.9875 4.9875
0.0000 0.0000 0.0000
3.3250 3.3250 3.3250
```


2.
A plane-wave DFT calculation with PBE was carried out for a relaxed structure of MgTe2N2.

Output
total magnetization = 1.913 Bohr magnetons per cell
symmetry = P4/mmm
E_form (uncorrected) = 1.24 eV per atom
electronic total energy = -3.667 eV/atom

The structure in POSCAR format:
```
MgTe2N2
1.0
4.7027 0.0000 0.0000
0.0000 4.7027 0.0000
0.0000 0.0000 4.1474
Mg Te N
1 2 2
Cartesian
0.0000 0.0000 0.0000
0.0000 2.3513 2.0737
2.3513 0.0000 2.0737
2.3513 2.3513 0.0000
2.3513 2.3513 2.0737
```


3.
A plane-wave DFT calculation with PBE was carried out for a relaxed structure of MgTeN3.

Output
total magnetization = 0.000 Bohr magnetons per cell
symmetry = Pm-3m
E_form (uncorrected) = 1.16 eV per atom
electronic total energy = -4.778 eV/atom

The structure in POSCAR format:
```
MgTeN3
1.0
3.9520 0.0000 0.0000
0.0000 3.9520 0.0000
0.0000 0.0000 3.9520
Mg Te N
1 1 3
Cartesian
0.0000 0.0000 0.0000
1.9760 1.9760 1.9760
0.0000 1.9760 1.9760
1.9760 0.0000 1.9760
1.9760 1.9760 0.0000
```


4.
A plane-wave DFT calculation with PBE was carried out for a relaxed structure of MgTe3N.

Output
total magnetization = 0.000 Bohr magnetons per cell
symmetry = Pm-3m
E_form (uncorrected) = 0.46 eV per atom
electronic total energy = -3.408 eV/atom

The structure in POSCAR format:
```
MgTe3N
1.0
4.8045 0.0000 0.0000
0.0000 4.8045 0.0000
0.0000 0.0000 4.8045
Mg Te N
1 3 1
Cartesian
0.0000 0.0000 0.0000
0.0000 2.4023 2.4023
2.4023 0.0000 2.4023
2.4023 2.4023 0.0000
2.4023 2.4023 2.4023
```